Density functional theory data (PBE) for an optimized crystal structure of CsTbCdO3.

Results
energy	-67.13	eV for the cell shown
Fermi-level density of states	0.00	states/eV/cell

Lattice parameters (Å, degrees): 7.352 3.653 9.977 90.00 110.82 90.00
Positions (direct):
Cs 0.149 0.250 0.191
Cs 0.851 0.750 0.809
Tb 0.376 0.250 0.849
Tb 0.624 0.750 0.151
Cd 0.178 0.750 0.554
Cd 0.822 0.250 0.446
O 0.053 0.250 0.653
O 0.326 0.750 0.980
O 0.444 0.750 0.727
O 0.556 0.250 0.273
O 0.674 0.250 0.020
O 0.947 0.750 0.347

Density functional theory data (PBE) for an optimized crystal structure of Mn2ReBiPb.

Results
energy	-30.02	eV for the cell shown
Fermi-level density of states	4.51	states/eV/cell

Lattice parameters (Å, degrees): 5.091 5.091 5.148 90.00 90.00 90.00
Positions (direct):
Mn 0.000 0.500 0.000
Mn 0.500 0.000 0.000
Re 0.000 0.000 0.500
Bi 0.000 0.000 0.000
Pb 0.500 0.500 0.500

Density functional theory data (PBE) for an optimized crystal structure of PmTmPt.

Results
energy above the lowest structure with this stoichiometry	27	kJ/mol of formula units
energy	-70.92	eV for the cell shown
Fermi-level density of states	12.50	states/eV/cell

Lattice parameters (Å, degrees): 9.967 4.806 6.948 90.00 90.00 90.00
Positions (direct):
Pm 0.130 0.250 0.008
Pm 0.370 0.750 0.508
Pm 0.630 0.250 0.492
Pm 0.870 0.750 0.992
Tm 0.119 0.250 0.507
Tm 0.381 0.750 0.007
Tm 0.619 0.250 0.993
Tm 0.881 0.750 0.493
Pt 0.122 0.750 0.744
Pt 0.378 0.250 0.244
Pt 0.622 0.750 0.756
Pt 0.878 0.250 0.256

Density functional theory data (PBE) for an optimized crystal structure of Na2TmCrS4.

Results
energy	-44.03	eV for the cell shown

Lattice parameters (Å, degrees): 6.462 3.771 6.994 90.00 108.31 90.00
Positions (direct):
Na 0.000 0.000 0.000
Na 0.500 0.500 0.000
Tm 0.000 0.500 0.500
Cr 0.500 0.000 0.500
S 0.261 0.000 0.719
S 0.287 0.500 0.295
S 0.713 0.500 0.705
S 0.739 0.000 0.281

Density functional theory data (PBE) for an optimized crystal structure of Ce2PuSe4.

Results
energy above the lowest structure with this stoichiometry	0	kJ/mol of formula units
energy	-105.00	eV for the cell shown
Fermi-level density of states	35.52	states/eV/cell

Lattice parameters (Å, degrees): 7.676 7.676 7.676 109.42 109.42 109.58
Positions (direct):
Ce 0.001 0.125 0.376
Ce 0.375 0.999 0.124
Ce 0.749 0.625 0.624
Ce 0.875 0.251 0.876
Pu 0.250 0.750 0.500
Pu 0.500 0.500 0.000
Se 0.127 0.026 0.750
Se 0.127 0.526 0.750
Se 0.276 0.377 0.250
Se 0.474 0.224 0.601
Se 0.623 0.873 0.399
Se 0.623 0.873 0.899
Se 0.776 0.377 0.250
Se 0.974 0.724 0.101

Density functional theory data (PBE) for an optimized crystal structure of PmU3Se6.

Results
energy	-144.69	eV for the cell shown
Fermi-level density of states	31.84	states/eV/cell

Lattice parameters (Å, degrees): 11.576 4.061 12.033 90.00 108.61 90.00
Positions (direct):
Pm 0.047 0.250 0.195
Pm 0.953 0.750 0.805
U 0.151 0.250 0.579
U 0.317 0.750 0.004
U 0.436 0.250 0.334
U 0.564 0.750 0.666
U 0.683 0.250 0.996
U 0.849 0.750 0.421
Se 0.087 0.750 0.399
Se 0.119 0.250 0.967
Se 0.195 0.750 0.752
Se 0.259 0.750 0.226
Se 0.390 0.250 0.556
Se 0.492 0.250 0.121
Se 0.508 0.750 0.879
Se 0.610 0.750 0.444
Se 0.741 0.250 0.774
Se 0.805 0.250 0.248
Se 0.881 0.750 0.033
Se 0.913 0.250 0.601

Density functional theory data (PBE) for an optimized crystal structure of YEr2Sc3S6.

Results
energy	-82.30	eV for the cell shown
Fermi-level density of states	5.74	states/eV/cell

Lattice parameters (Å, degrees): 8.460 8.460 7.598 102.89 102.89 25.85
Positions (direct):
Y 0.000 0.000 0.000
Er 0.334 0.334 0.667
Er 0.666 0.666 0.333
Sc 0.000 0.000 0.500
Sc 0.334 0.334 0.167
Sc 0.666 0.666 0.833
S 0.164 0.164 0.590
S 0.171 0.171 0.077
S 0.497 0.497 0.260
S 0.503 0.503 0.740
S 0.829 0.829 0.923
S 0.836 0.836 0.410

Density functional theory data (PBE) for an optimized crystal structure of AsW2Cl.

Results
energy above the lowest structure with this stoichiometry	204	kJ/mol of formula units
energy	-30.34	eV for the cell shown
Fermi-level density of states	2.65	states/eV/cell

Lattice parameters (Å, degrees): 3.240 3.353 6.794 90.00 90.09 90.00
Positions (direct):
As 0.000 0.000 0.000
W 0.499 0.500 0.820
W 0.501 0.500 0.180
Cl 0.500 0.000 0.500

Density functional theory data (PBE) for an optimized crystal structure of PuHfCdO6.

Results
energy	-154.08	eV for the cell shown
Fermi-level density of states	13.14	states/eV/cell

Lattice parameters (Å, degrees): 5.578 5.578 9.510 90.00 90.00 120.00
Positions (direct):
Pu 0.333 0.667 0.250
Pu 0.667 0.333 0.750
Hf 0.333 0.667 0.750
Hf 0.667 0.333 0.250
Cd 0.000 0.000 0.000
Cd 0.000 0.000 0.500
O 0.002 0.360 0.138
O 0.002 0.642 0.362
O 0.358 0.360 0.362
O 0.358 0.998 0.138
O 0.360 0.002 0.638
O 0.360 0.358 0.862
O 0.640 0.642 0.138
O 0.640 0.998 0.362
O 0.642 0.002 0.862
O 0.642 0.640 0.638
O 0.998 0.358 0.638
O 0.998 0.640 0.862

Density functional theory data (PBE) for an optimized crystal structure of TaMn2Br.

Results
energy above the lowest structure with this stoichiometry	289	kJ/mol of formula units
energy	-112.12	eV for the cell shown
Fermi-level density of states	18.97	states/eV/cell

Lattice parameters (Å, degrees): 6.151 6.151 6.151 90.00 90.00 90.00
Positions (direct):
Ta 0.000 0.000 0.000
Ta 0.000 0.500 0.500
Ta 0.500 0.000 0.500
Ta 0.500 0.500 0.000
Mn 0.250 0.250 0.250
Mn 0.250 0.250 0.750
Mn 0.250 0.750 0.250
Mn 0.250 0.750 0.750
Mn 0.750 0.250 0.250
Mn 0.750 0.250 0.750
Mn 0.750 0.750 0.250
Mn 0.750 0.750 0.750
Br 0.000 0.000 0.500
Br 0.000 0.500 0.000
Br 0.500 0.000 0.000
Br 0.500 0.500 0.500

Density functional theory data (PBE) for an optimized crystal structure of Cs3TlO.

Results
energy above the lowest structure with this stoichiometry	382	kJ/mol of formula units
energy	-8.41	eV for the cell shown
Fermi-level density of states	11.01	states/eV/cell

Lattice parameters (Å, degrees): 7.238 7.238 7.238 90.00 90.00 90.00
Positions (direct):
Cs 0.000 0.000 0.500
Cs 0.000 0.500 0.000
Cs 0.500 0.000 0.000
Tl 0.000 0.000 0.000
O 0.500 0.500 0.500

Density functional theory data (PBE) for an optimized crystal structure of Os2Pt2Rh7.

Results
energy	-82.88	eV for the cell shown
Fermi-level density of states	13.84	states/eV/cell

Lattice parameters (Å, degrees): 5.276 5.276 6.989 93.91 93.91 119.86
Positions (direct):
Os 0.221 0.779 0.000
Os 0.779 0.221 0.000
Pt 0.080 0.080 0.698
Pt 0.920 0.920 0.302
Rh 0.072 0.522 0.325
Rh 0.317 0.317 0.094
Rh 0.478 0.928 0.675
Rh 0.500 0.500 0.500
Rh 0.522 0.072 0.325
Rh 0.683 0.683 0.906
Rh 0.928 0.478 0.675

Density functional theory data (PBE) for an optimized crystal structure of Al2VHPd.

Results
energy	-26.64	eV for the cell shown
Fermi-level density of states	3.45	states/eV/cell

Lattice parameters (Å, degrees): 4.174 4.174 3.459 90.00 90.00 90.00
Positions (direct):
Al 0.000 0.500 0.000
Al 0.500 0.000 0.000
V 0.000 0.000 0.500
H 0.000 0.000 0.000
Pd 0.500 0.500 0.500

Density functional theory data (PBE) for an optimized crystal structure of K2CdSb.

Results
energy above the lowest structure with this stoichiometry	67	kJ/mol of formula units
energy	-7.60	eV for the cell shown
Fermi-level density of states	2.92	states/eV/cell

Lattice parameters (Å, degrees): 4.106 4.106 9.705 90.00 90.00 90.00
Positions (direct):
K 0.000 0.000 0.000
K 0.500 0.500 0.402
Cd 0.500 0.500 0.770
Sb 0.000 0.000 0.635

Density functional theory data (PBE) for an optimized crystal structure of Nb3AuN.

Results
energy	-44.45	eV for the cell shown
Fermi-level density of states	5.07	states/eV/cell

Lattice parameters (Å, degrees): 4.276 4.276 4.276 90.00 90.00 90.00
Positions (direct):
Nb 0.000 0.000 0.500
Nb 0.000 0.500 0.000
Nb 0.500 0.000 0.000
Au 0.500 0.500 0.500
N 0.000 0.000 0.000

Density functional theory data (PBE) for an optimized crystal structure of Sm3MgF.

Results
energy	-22.39	eV for the cell shown
Fermi-level density of states	3.31	states/eV/cell

Lattice parameters (Å, degrees): 5.018 5.018 5.018 90.00 90.00 90.00
Positions (direct):
Sm 0.000 0.000 0.500
Sm 0.000 0.500 0.000
Sm 0.500 0.000 0.000
Mg 0.500 0.500 0.500
F 0.000 0.000 0.000

Density functional theory data (PBE) for an optimized crystal structure of Ho4Tl3Cu.

Results
energy above the lowest structure with this stoichiometry	0	kJ/mol of formula units
energy	-32.00	eV for the cell shown
Fermi-level density of states	4.94	states/eV/cell

Lattice parameters (Å, degrees): 3.559 3.559 16.088 90.00 90.00 90.00
Positions (direct):
Ho 0.000 0.000 0.104
Ho 0.000 0.000 0.368
Ho 0.000 0.000 0.632
Ho 0.000 0.000 0.896
Tl 0.500 0.500 0.236
Tl 0.500 0.500 0.500
Tl 0.500 0.500 0.764
Cu 0.500 0.500 0.000

Density functional theory data (PBE) for an optimized crystal structure of Li5HN.

Results
energy above the lowest structure with this stoichiometry	0	kJ/mol of formula units
energy	-45.96	eV for the cell shown
Fermi-level density of states	3.52	states/eV/cell

Lattice parameters (Å, degrees): 5.477 5.477 6.769 108.49 108.49 68.09
Positions (direct):
Li 0.112 0.888 0.750
Li 0.231 0.313 0.643
Li 0.311 0.660 0.038
Li 0.313 0.231 0.143
Li 0.340 0.689 0.462
Li 0.660 0.311 0.538
Li 0.687 0.769 0.857
Li 0.689 0.340 0.962
Li 0.769 0.687 0.357
Li 0.888 0.112 0.250
H 0.000 0.000 0.000
H 0.000 0.000 0.500
N 0.432 0.568 0.750
N 0.568 0.432 0.250

Density functional theory data (PBE) for an optimized crystal structure of Tb2AgGe.

Results
energy	-37.99	eV for the cell shown
Fermi-level density of states	7.02	states/eV/cell

Lattice parameters (Å, degrees): 6.021 4.411 7.856 90.00 110.33 90.00
Positions (direct):
Tb 0.206 0.250 0.425
Tb 0.219 0.250 0.931
Tb 0.781 0.750 0.069
Tb 0.794 0.750 0.575
Ag 0.344 0.750 0.214
Ag 0.656 0.250 0.786
Ge 0.329 0.750 0.709
Ge 0.671 0.250 0.291

Density functional theory data (PBE) for an optimized crystal structure of BeZnFe2.

Results
energy above the lowest structure with this stoichiometry	27	kJ/mol of formula units
energy	-43.92	eV for the cell shown
Fermi-level density of states	3.44	states/eV/cell

Lattice parameters (Å, degrees): 3.505 3.505 7.303 90.00 90.00 90.00
Positions (direct):
Be 0.000 0.000 0.000
Be 0.500 0.500 0.500
Zn 0.000 0.000 0.500
Zn 0.500 0.500 0.000
Fe 0.000 0.500 0.250
Fe 0.000 0.500 0.750
Fe 0.500 0.000 0.250
Fe 0.500 0.000 0.750